No. 1
KInCl2 PBE optimized geometry; E above lowest polymorph = 0.002 kcal/mol of atoms; DOS at the Fermi energy = 0.000 states/eV/atom; symmetry = No. 25; formation energy without anion corrections = -1.384 eV per atom
1.0
-4.704 -3.416 -2.660
1.346 -3.659 2.319
-2.764 1.147 3.414
K Cl In
1 2 1
direct
0.500 0.873 0.875
0.500 0.373 0.375
0.000 0.881 0.875
0.000 0.374 0.374

=====

No. 2
K5InCl6 PBE optimized geometry; DOS at the Fermi energy = 0.000 states/eV/atom; symmetry = No. 12; formation energy without anion corrections = -1.766 eV per atom
1.0
7.824 0.214 0.000
2.408 7.450 0.000
1.204 3.725 6.779
Cl In K
6 1 5
direct
0.252 0.916 0.664
0.251 0.253 0.000
0.252 0.579 0.336
0.748 0.084 0.336
0.748 0.421 0.664
0.749 0.747 0.000
0.000 0.000 0.000
0.500 0.835 0.329
0.000 0.667 0.666
0.500 0.165 0.671
0.000 0.333 0.334
0.500 0.500 0.000

=====

No. 3
KIn2Cl PBE optimized geometry; E above lowest polymorph = 6.577 kcal/mol of atoms; DOS at the Fermi energy = 0.394 states/eV/atom; symmetry = No. 44; formation energy without anion corrections = -0.412 eV per atom
1.0
6.237 -0.001 -0.021
2.182 5.842 0.021
-3.782 -3.536 3.477
K Cl In
1 1 2
direct
0.466 0.466 0.000
0.255 0.755 0.500
0.746 0.246 0.500
0.034 0.034 0.000

=====

No. 4
KIn5Cl6 PBE optimized geometry; DOS at the Fermi energy = 0.000 states/eV/atom; symmetry = No. 12; formation energy without anion corrections = -0.988 eV per atom
1.0
-5.819 -0.838 5.255
7.233 -2.676 1.644
1.282 7.754 0.684
In Cl K
5 6 1
direct
0.500 0.500 0.500
0.332 0.668 0.000
0.835 0.165 0.500
0.668 0.332 0.000
0.165 0.835 0.500
0.590 0.919 0.755
0.757 0.757 0.253
0.919 0.590 0.755
0.410 0.081 0.245
0.081 0.410 0.245
0.243 0.243 0.747
0.000 0.000 0.000

=====

No. 5
K2InCl4 PBE optimized geometry; E above lowest polymorph = 0.000 kcal/mol of atoms; DOS at the Fermi energy = 0.281 states/eV/atom; symmetry = No. 139; formation energy without anion corrections = -1.491 eV per atom
1.0
-3.698 -3.861 -0.516
3.722 -3.292 -2.038
1.744 -6.231 6.172
K Cl In
2 4 1
direct
0.359 0.359 0.282
0.641 0.641 0.718
0.500 0.000 0.000
0.830 0.830 0.341
0.170 0.170 0.659
0.000 0.500 0.000
0.000 0.000 0.000

=====

No. 6
KIn3Cl PBE optimized geometry; E above lowest polymorph = 0.000 kcal/mol of atoms; DOS at the Fermi energy = 0.513 states/eV/atom; symmetry = No. 221; formation energy without anion corrections = -0.088 eV per atom
1.0
5.834 0.000 0.000
0.000 5.834 0.000
0.000 0.000 5.834
In K Cl
3 1 1
direct
0.000 0.500 0.000
0.000 0.000 0.500
0.500 0.000 0.000
0.500 0.500 0.500
0.000 0.000 0.000

=====

No. 7
KInCl2 PBE optimized geometry; E above lowest polymorph = 10.319 kcal/mol of atoms; DOS at the Fermi energy = 0.000 states/eV/atom; symmetry = No. 216; formation energy without anion corrections = -0.936 eV per atom
1.0
5.473 0.000 0.000
2.737 4.740 0.000
2.737 1.580 4.469
In Cl K
1 2 1
direct
0.500 0.500 0.500
0.000 0.000 0.000
0.250 0.250 0.250
0.750 0.750 0.750

=====

No. 8
KIn6Cl8 PBE optimized geometry; DOS at the Fermi energy = 0.339 states/eV/atom; symmetry = No. 148; formation energy without anion corrections = -0.923 eV per atom
1.0
8.058 0.030 0.031
-0.222 8.055 0.031
-0.222 -0.229 8.052
Cl In K
8 6 1
direct
0.348 0.069 0.742
0.258 0.652 0.931
0.652 0.931 0.258
0.069 0.742 0.348
0.931 0.258 0.652
0.237 0.237 0.237
0.742 0.348 0.069
0.763 0.763 0.763
0.411 0.757 0.649
0.243 0.351 0.589
0.589 0.243 0.351
0.351 0.589 0.243
0.757 0.649 0.411
0.649 0.411 0.757
0.000 0.000 0.000

=====

No. 9
KInCl4 PBE optimized geometry; DOS at the Fermi energy = 0.126 states/eV/atom; symmetry = No. 216; formation energy without anion corrections = -0.471 eV per atom
1.0
-4.994 -2.436 2.863
-5.525 -0.126 -2.921
-2.379 -5.440 -1.954
K Cl In
1 4 1
direct
0.000 0.000 0.000
0.375 0.874 0.375
0.874 0.375 0.375
0.375 0.375 0.375
0.375 0.375 0.874
0.750 0.750 0.750

=====

No. 10
K2In2Cl PBE optimized geometry; E above lowest polymorph = 0.000 kcal/mol of atoms; DOS at the Fermi energy = 0.238 states/eV/atom; symmetry = No. 139; formation energy without anion corrections = -0.726 eV per atom
1.0
-4.007 1.292 -0.067
0.015 -0.172 -4.207
-5.058 -8.918 -1.761
Cl K In
1 2 2
direct
0.000 0.000 0.000
0.410 0.410 0.181
0.590 0.590 0.819
0.250 0.750 0.500
0.750 0.250 0.500

=====

No. 11
K3In2Cl9 PBE optimized geometry; DOS at the Fermi energy = 0.000 states/eV/atom; symmetry = No. 194; formation energy without anion corrections = -1.482 eV per atom
1.0
-3.088 0.984 -6.486
-3.919 -2.583 5.526
-4.672 17.537 4.884
Cl In K
18 4 6
direct
0.668 0.834 0.912
0.166 0.332 0.588
0.166 0.834 0.588
0.509 0.018 0.250
0.166 0.332 0.912
0.491 0.509 0.750
0.509 0.491 0.250
0.982 0.491 0.250
0.834 0.166 0.088
0.834 0.668 0.088
0.834 0.166 0.412
0.332 0.166 0.088
0.018 0.509 0.750
0.668 0.834 0.588
0.491 0.982 0.750
0.166 0.834 0.912
0.332 0.166 0.412
0.834 0.668 0.412
0.667 0.333 0.345
0.333 0.667 0.655
0.333 0.667 0.845
0.667 0.333 0.155
0.000 0.000 0.250
0.667 0.333 0.557
0.333 0.667 0.057
0.000 0.000 0.750
0.333 0.667 0.443
0.667 0.333 0.943

=====

No. 12
K3InCl6 PBE optimized geometry; DOS at the Fermi energy = 0.000 states/eV/atom; symmetry = No. 14; formation energy without anion corrections = -1.660 eV per atom
1.0
-0.359 3.144 -7.054
3.106 -11.098 -5.104
-10.851 -6.903 -2.524
K Cl In
12 24 4
direct
0.577 0.889 0.321
0.063 0.731 0.320
0.437 0.231 0.320
0.533 0.372 0.893
0.467 0.628 0.107
0.967 0.872 0.893
0.077 0.611 0.679
0.423 0.111 0.679
0.563 0.769 0.680
0.923 0.389 0.321
0.937 0.269 0.680
0.033 0.128 0.107
0.796 0.105 0.344
0.673 0.147 0.855
0.214 0.077 0.896
0.780 0.002 0.644
0.372 0.689 0.501
0.827 0.647 0.855
0.530 0.863 0.898
0.296 0.395 0.656
0.470 0.137 0.102
0.030 0.637 0.102
0.970 0.363 0.898
0.704 0.605 0.344
0.628 0.311 0.499
0.720 0.502 0.644
0.173 0.353 0.145
0.872 0.811 0.499
0.327 0.853 0.145
0.220 0.998 0.356
0.286 0.577 0.896
0.280 0.498 0.356
0.786 0.923 0.104
0.204 0.895 0.656
0.128 0.189 0.501
0.714 0.423 0.104
0.000 0.500 0.000
0.500 0.500 0.500
0.000 0.000 0.500
0.500 0.000 0.000

=====

no.,magnetization (μB/f.u.)
1,0.0
2,0.0
3,0.0
4,0.0
5,0.0
6,0.0
7,0.0
8,0.0
9,2.0
10,0.0
11,0.0
12,0.0